! Zr2ZnGe PBE-GGA relaxed; values from VASP
! - energy (eV per atom) = -5.5612
! - magnetization (Bohr magnetons per cell) = 0.0
! - crystal system = cubic
&SYSTEM
  ibrav = 0, nat = 4, ntyp = 3
/
ATOMIC_SPECIES
Ge 72.64 Ge.upf
Zn 65.41 Zn.upf
Zr 91.22 Zr.upf
CELL_PARAMETERS angstrom
-0.6071 -4.5123 1.4328
-4.3609 -1.9403 -0.0082
-1.0996 -3.3860 -3.1793
ATOMIC_POSITIONS angstrom
Ge -3.0338 -4.9193 -0.8773
Zn -1.5169 -2.4597 -0.4387
Zr 0.0000 0.0000 0.0000
Zr -4.5506 -7.3790 -1.3160